[1]
## Tm4Mg3Zn (GGA-PBE)

Data for a relaxed Tm4Mg3Zn crystal.

Results
Energy of formation from the pure elements = -0.06 eV/atom
D(E_F) = 1.01 states/eV per atom
Total DFT energy (no corrections) = -3.049 eV per atom
Distance to the lowest polymorph of the same formula = 0.56 eV per formula unit

Cell and atoms, written as CIF:
```
data_Tm4Mg3Zn
_chemical_formula_sum 'Tm4 Mg3 Zn1'
_cell_length_a 3.364
_cell_length_b 4.958
_cell_length_c 12.287
_cell_angle_alpha 90.00
_cell_angle_beta 90.00
_cell_angle_gamma 90.00
_space_group_name_H-M_alt 'P m m 2'
_space_group_IT_number 25
loop_
_space_group_symop_operation_xyz
'x,y,z'
'-x,-y,z'
'-x,y,z'
'x,-y,z'
loop_
_atom_site_label
_atom_site_type_symbol
_atom_site_fract_x
_atom_site_fract_y
_atom_site_fract_z
Tm1 Tm 0.000 0.000 0.000
Tm2 Tm 0.000 0.500 0.326
Tm3 Tm 0.500 0.000 0.479
Tm4 Tm 0.500 0.500 0.839
Mg1 Mg 0.000 0.000 0.727
Mg2 Mg 0.000 0.500 0.594
Mg3 Mg 0.500 0.500 0.102
Zn1 Zn 0.500 0.000 0.230
```



[2]
## Tm2Mg3Zn2 (GGA-PBE)

Data for a relaxed Tm2Mg3Zn2 crystal.

Results
Energy of formation from the pure elements = -0.17 eV/atom
D(E_F) = 0.61 states/eV per atom
Total DFT energy (no corrections) = -2.500 eV per atom

Cell and atoms, written as CIF:
```
data_Tm2Mg3Zn2
_chemical_formula_sum 'Tm4 Mg6 Zn4'
_cell_length_a 10.129
_cell_length_b 4.369
_cell_length_c 7.218
_cell_angle_alpha 90.00
_cell_angle_beta 97.35
_cell_angle_gamma 90.00
_space_group_name_H-M_alt 'C 1 2/m 1'
_space_group_IT_number 12
loop_
_space_group_symop_operation_xyz
'x,y,z'
'-x,-y,-z'
'-x,y,-z'
'x,-y,z'
'x+1/2,y+1/2,z'
'-x+1/2,-y+1/2,-z'
'-x+1/2,y+1/2,-z'
'x+1/2,-y+1/2,z'
loop_
_atom_site_label
_atom_site_type_symbol
_atom_site_fract_x
_atom_site_fract_y
_atom_site_fract_z
Tm1 Tm 0.129 0.000 0.360
Mg1 Mg 0.000 0.500 0.000
Mg2 Mg 0.185 0.000 0.862
Zn1 Zn 0.082 0.500 0.647
```



[3]
## TmMgZn2 (GGA-PBE)

Data for a relaxed TmMgZn2 crystal.

Results
Energy of formation from the pure elements = -0.32 eV/atom
D(E_F) = 0.35 states/eV per atom
Total DFT energy (no corrections) = -2.473 eV per atom
Distance to the lowest polymorph of the same formula = 0.00 eV per formula unit

Cell and atoms, written as CIF:
```
data_TmMgZn2
_chemical_formula_sum 'Tm4 Mg4 Zn8'
_cell_length_a 6.771
_cell_length_b 6.771
_cell_length_c 6.771
_cell_angle_alpha 90.00
_cell_angle_beta 90.00
_cell_angle_gamma 90.00
_space_group_name_H-M_alt 'F m -3 m'
_space_group_IT_number 225
_space_group_name_Hall '-F 4 2 3'
loop_
_atom_site_label
_atom_site_type_symbol
_atom_site_fract_x
_atom_site_fract_y
_atom_site_fract_z
Tm1 Tm 0.000 0.000 0.000
Mg1 Mg 0.000 0.000 0.500
Zn1 Zn 0.250 0.250 0.250
```



[4]
## TmMgZn (GGA-PBE)

Data for a relaxed TmMgZn crystal.

Results
Energy of formation from the pure elements = -0.16 eV/atom
D(E_F) = 0.64 states/eV per atom
Total DFT energy (no corrections) = -2.608 eV per atom

Cell and atoms, written as CIF:
```
data_TmMgZn
_chemical_formula_sum 'Tm2 Mg2 Zn2'
_cell_length_a 3.323
_cell_length_b 3.323
_cell_length_c 12.046
_cell_angle_alpha 90.00
_cell_angle_beta 90.00
_cell_angle_gamma 90.00
_space_group_name_H-M_alt 'I 4 m m'
_space_group_IT_number 107
_space_group_name_Hall 'I 4 -2'
loop_
_atom_site_label
_atom_site_type_symbol
_atom_site_fract_x
_atom_site_fract_y
_atom_site_fract_z
Tm1 Tm 0.000 0.000 0.000
Mg1 Mg 0.000 0.000 0.703
Zn1 Zn 0.000 0.000 0.344
```